# 1
The following is a DFT calculation (PBE) of a relaxed structure of Na3Li2ReO6.

## Properties
As for the raw total energy: -5.924 eV/atom. For the total magnetic moment, the calculation gives 0.0 Bohr magnetons per cell.

Unit cell a=5.495 b=5.495 c=5.115 alpha=98.59 beta=98.59 gamma=119.46
Positions (direct):
1 Na 0.000 0.000 0.000
2 Na 0.167 0.833 0.500
3 Na 0.833 0.167 0.500
4 Li 0.354 0.646 0.000
5 Li 0.646 0.354 0.000
6 Re 0.500 0.500 0.500
7 O 0.158 0.443 0.271
8 O 0.286 0.286 0.730
9 O 0.443 0.158 0.271
10 O 0.557 0.842 0.729
11 O 0.714 0.714 0.270
12 O 0.842 0.557 0.729

# 2
The following is a DFT calculation (PBE) of a relaxed structure of Na4LiReO6.

## Properties
As for the raw total energy: -5.840 eV/atom. For the total magnetic moment, the calculation gives 0.0 Bohr magnetons per cell.

Unit cell a=5.554 b=5.554 c=5.459 alpha=101.86 beta=101.86 gamma=120.25
Positions (direct):
1 Na 0.168 0.832 0.000
2 Na 0.320 0.680 0.500
3 Na 0.680 0.320 0.500
4 Na 0.832 0.168 0.000
5 Li 0.000 0.000 0.500
6 Re 0.500 0.500 0.000
7 O 0.130 0.407 0.767
8 O 0.299 0.299 0.208
9 O 0.407 0.130 0.767
10 O 0.593 0.870 0.233
11 O 0.701 0.701 0.792
12 O 0.870 0.593 0.233

# 3
The following is a DFT calculation (PBE) of a relaxed structure of NaLi6TaO6.

## Properties
As for the raw total energy: -6.046 eV/atom. For the total magnetic moment, the calculation gives 0.0 Bohr magnetons per cell.

Unit cell a=5.276 b=5.276 c=5.276 alpha=101.15 beta=101.15 gamma=101.15
Positions (direct):
1 Na 0.000 0.000 0.000
2 Li 0.155 0.500 0.845
3 Li 0.155 0.845 0.500
4 Li 0.500 0.155 0.845
5 Li 0.500 0.845 0.155
6 Li 0.845 0.155 0.500
7 Li 0.845 0.500 0.155
8 Ta 0.500 0.500 0.500
9 O 0.226 0.226 0.583
10 O 0.226 0.583 0.226
11 O 0.417 0.774 0.774
12 O 0.583 0.226 0.226
13 O 0.774 0.417 0.774
14 O 0.774 0.774 0.417

# 4
The following is a DFT calculation (PBE) of a relaxed structure of NaLi3ZnTeO6.

## Properties
As for the raw total energy: -5.071 eV/atom.

Unit cell a=5.234 b=5.234 c=5.242 alpha=99.97 beta=99.97 gamma=120.03
Positions (direct):
1 Na 0.000 0.000 0.000
2 Li 0.153 0.847 0.500
3 Li 0.317 0.683 0.000
4 Li 0.656 0.344 0.000
5 Zn 0.482 0.518 0.500
6 Te 0.816 0.184 0.500
7 O 0.043 0.419 0.278
8 O 0.211 0.273 0.723
9 O 0.441 0.109 0.263
10 O 0.581 0.957 0.722
11 O 0.727 0.789 0.277
12 O 0.891 0.559 0.737

# 5
The following is a DFT calculation (PBE) of a relaxed structure of Na3LiZnTeO6.

## Properties
As for the raw total energy: -4.896 eV/atom.

Unit cell a=5.314 b=5.314 c=5.551 alpha=99.28 beta=99.28 gamma=119.76
Positions (direct):
1 Na 0.000 0.000 0.000
2 Na 0.326 0.674 0.000
3 Na 0.683 0.317 0.000
4 Li 0.837 0.163 0.500
5 Zn 0.168 0.832 0.500
6 Te 0.503 0.497 0.500
7 O 0.130 0.432 0.291
8 O 0.272 0.261 0.709
9 O 0.430 0.119 0.290
10 O 0.568 0.870 0.709
11 O 0.739 0.728 0.291
12 O 0.881 0.570 0.710

# 6
The following is a DFT calculation (PBE) of a relaxed structure of Na3LiZnTeO6.

## Properties
As for the raw total energy: -4.879 eV/atom.

Unit cell a=5.431 b=5.431 c=5.376 alpha=98.45 beta=98.45 gamma=120.38
Positions (direct):
1 Na 0.000 0.000 0.000
2 Na 0.167 0.833 0.500
3 Na 0.853 0.147 0.500
4 Li 0.530 0.470 0.500
5 Zn 0.334 0.666 0.000
6 Te 0.665 0.335 0.000
7 O 0.042 0.422 0.208
8 O 0.319 0.294 0.771
9 O 0.446 0.104 0.225
10 O 0.578 0.958 0.792
11 O 0.706 0.681 0.229
12 O 0.896 0.554 0.775

Number 6 is which compound? Na3LiZnTeO6

Among the records above, which one has the lowest raw total energy? NaLi6TaO6